No. 1
# GGA-PBE Sc2TcMo, optimized geometry
data_Sc2TcMo
_cell_length_a 6.555
_cell_length_b 6.555
_cell_length_c 6.555
_cell_angle_alpha 90.00
_cell_angle_beta 90.00
_cell_angle_gamma 90.00
_space_group_name_H-M_alt 'F -4 3 m'
_space_group_IT_number 216
_space_group_name_Hall 'F -4 2 3'
loop_
_atom_site_label
_atom_site_fract_x
_atom_site_fract_y
_atom_site_fract_z
Sc1 0.000 0.000 0.000
Sc2 0.250 0.250 0.250
Tc1 0.250 0.250 0.750
Mo1 0.000 0.000 0.500
# Energy of formation in eV/f.u.: 0.10
# Energy above the lowest structure with this stoichiometry in meV/atom: 149

No. 2
# GGA-PBE TbSi2Ge, optimized geometry
data_TbSi2Ge
_cell_length_a 4.4101
_cell_length_b 4.4101
_cell_length_c 14.2353
_cell_angle_alpha 90.00
_cell_angle_beta 90.00
_cell_angle_gamma 120.00
_space_group_name_H-M_alt 'R -3 m'
_space_group_IT_number 166
_space_group_name_Hall '-R 3 2"'
loop_
_atom_site_label
_atom_site_fract_x
_atom_site_fract_y
_atom_site_fract_z
Tb1 0.0000 0.0000 0.0000
Si1 0.0000 0.0000 0.2095
Ge1 0.0000 0.0000 0.5000
# Energy above the lowest structure with this stoichiometry in meV/atom: 116
# Raw formation energy in eV/atom: -0.12

No. 3
# GGA-PBE PrNd2SnO, optimized geometry
data_PrNd2SnO
_cell_length_a 4.969
_cell_length_b 4.969
_cell_length_c 5.027
_cell_angle_alpha 90.00
_cell_angle_beta 90.00
_cell_angle_gamma 90.00
_space_group_name_H-M_alt 'P 4/m m m'
_space_group_IT_number 123
_space_group_name_Hall '-P 4 2'
loop_
_atom_site_label
_atom_site_fract_x
_atom_site_fract_y
_atom_site_fract_z
Pr1 0.000 0.000 0.000
Nd1 0.000 0.500 0.500
Sn1 0.500 0.500 0.000
O1 0.000 0.000 0.500
# Raw formation energy in eV/atom: -1.45

No. 4
# GGA-PBE Ac3Ag7Pd4, optimized geometry
data_Ac3Ag7Pd4
_cell_length_a 16.369
_cell_length_b 4.344
_cell_length_c 10.708
_cell_angle_alpha 90.00
_cell_angle_beta 124.64
_cell_angle_gamma 90.00
_space_group_name_H-M_alt 'C 1 2/m 1'
_space_group_IT_number 12
loop_
_space_group_symop_operation_xyz
'x,y,z'
'-x,-y,-z'
'-x,y,-z'
'x,-y,z'
'x+1/2,y+1/2,z'
'-x+1/2,-y+1/2,-z'
'-x+1/2,y+1/2,-z'
'x+1/2,-y+1/2,z'
loop_
_atom_site_label
_atom_site_fract_x
_atom_site_fract_y
_atom_site_fract_z
Ac1 0.000 0.000 0.000
Ac2 0.193 0.500 0.708
Ag1 0.000 0.000 0.500
Ag2 0.023 0.500 0.324
Ag3 0.165 0.000 0.433
Ag4 0.182 0.500 0.010
Pd1 0.102 0.000 0.814
Pd2 0.158 0.500 0.249
# Energy of formation in eV/f.u.: -5.65

Number 1: magnetic moment 0.0 μB per cell. Number 2: magnetic moment 0.0 μB per cell. Number 3: magnetic moment 0.0 μB per cell. Number 4: magnetic moment 0.0 μB per cell.